! HoBiCl (PBE, optimized geometry); values from VASP
&SYSTEM
  ibrav = 0, nat = 12, ntyp = 3
/
ATOMIC_SPECIES
Ho 164.93 Ho.upf
Bi 208.98 Bi.upf
Cl 35.45 Cl.upf
ATOMIC_POSITIONS angstrom
Ho 1.144 0.000 3.590
Ho 1.265 0.000 7.993
Ho 16.759 0.000 1.532
Ho 16.879 0.000 5.935
Bi 3.510 0.000 0.986
Bi 3.545 0.000 5.883
Bi 14.478 0.000 3.642
Bi 14.514 0.000 8.540
Cl -0.301 0.000 5.822
Cl 7.148 0.000 6.845
Cl 10.876 0.000 2.681
Cl 18.324 0.000 3.704
CELL_PARAMETERS angstrom
10.968 -2.215 0.000
10.968 2.215 0.000
-3.913 0.000 9.525
! excess energy over the best structure of this formula in the dataset	0.0000	eV/atom
! raw formation energy	-1.13	eV/atom

=====

! CaMoW2 (PBE, optimized geometry); values from VASP
&SYSTEM
  ibrav = 0, nat = 4, ntyp = 3
/
ATOMIC_SPECIES
Ca 40.08 Ca.upf
Mo 95.94 Mo.upf
W 183.84 W.upf
ATOMIC_POSITIONS angstrom
Ca 0.000 0.000 0.000
Mo 1.348 1.348 2.749
W 0.000 0.000 5.049
W 1.348 1.348 7.354
CELL_PARAMETERS angstrom
2.696 0.000 0.000
0.000 2.696 0.000
0.000 0.000 10.076
! excess energy over the best structure of this formula in the dataset	0.2084	eV/atom
! formation energy from the elements	0.729	eV per atom

=====

! LaPmBeZn (PBE, optimized geometry); values from VASP
&SYSTEM
  ibrav = 0, nat = 4, ntyp = 4
/
ATOMIC_SPECIES
La 138.91 La.upf
Pm 145.00 Pm.upf
Be 9.01 Be.upf
Zn 65.41 Zn.upf
ATOMIC_POSITIONS angstrom
La 0.000 0.000 0.000
Pm 3.633 3.633 3.633
Be 1.816 1.816 1.816
Zn 5.449 5.449 5.449
CELL_PARAMETERS angstrom
0.000 3.633 3.633
3.633 0.000 3.633
3.633 3.633 0.000
! formation energy from the elements	-0.038	eV per atom

=====

! CeSmTm2Sb4 (PBE, optimized geometry); values from VASP
&SYSTEM
  ibrav = 0, nat = 8, ntyp = 4
/
ATOMIC_SPECIES
Ce 140.12 Ce.upf
Sm 150.36 Sm.upf
Tm 168.93 Tm.upf
Sb 121.76 Sb.upf
ATOMIC_POSITIONS angstrom
Ce 0.000 0.000 0.000
Sm -1.273 2.207 3.605
Tm 2.540 0.000 3.605
Tm 3.813 2.207 0.000
Sb 0.056 0.000 5.432
Sb 1.333 2.207 1.826
Sb 5.024 0.000 1.778
Sb 3.747 2.207 5.384
CELL_PARAMETERS angstrom
7.625 0.000 0.000
0.000 4.413 0.000
-2.546 0.000 7.210
! raw formation energy	-1.09	eV/atom

=====

! Ca2BeW (PBE, optimized geometry); values from VASP
&SYSTEM
  ibrav = 0, nat = 4, ntyp = 3
/
ATOMIC_SPECIES
Ca 40.08 Ca.upf
Be 9.01 Be.upf
W 183.84 W.upf
ATOMIC_POSITIONS angstrom
Ca 2.091 0.000 2.329
Ca 0.000 2.091 2.329
Be 0.000 0.000 0.000
W 0.000 0.000 4.657
CELL_PARAMETERS angstrom
-2.091 2.091 4.657
2.091 -2.091 4.657
2.091 2.091 -4.657
! formation energy from the elements	1.043	eV per atom

=====

! PdAu (PBE, optimized geometry); values from VASP
&SYSTEM
  ibrav = 0, nat = 16, ntyp = 2
/
ATOMIC_SPECIES
Pd 106.42 Pd.upf
Au 196.97 Au.upf
ATOMIC_POSITIONS angstrom
Pd -0.191 0.004 4.672
Pd -1.657 1.403 9.828
Pd 2.155 1.409 4.125
Pd 0.689 2.811 9.281
Pd 5.672 0.003 1.030
Pd 4.206 1.404 6.185
Pd 8.018 1.411 0.483
Pd 6.552 2.809 5.639
Au 0.665 0.002 2.024
Au -0.801 1.405 7.180
Au 3.242 1.409 1.476
Au 1.776 2.811 6.631
Au 4.585 0.002 3.680
Au 3.119 1.404 8.835
Au 7.162 1.409 3.131
Au 5.695 2.812 8.287
CELL_PARAMETERS angstrom
9.293 0.000 0.000
0.000 2.814 0.000
-2.932 0.000 10.311
! formation energy from the elements	-0.016	eV per atom

=====

Number 1: VASP energy -4.57 eV/atom, total magnetic moment 0.00 μB/f.u.. Number 2: VASP energy -8.96 eV/atom, total magnetic moment 0.00 μB/f.u.. Number 3: VASP energy -3.71 eV/atom, total magnetic moment 0.00 μB/f.u.. Number 4: VASP energy -5.60 eV/atom, total magnetic moment 0.73 μB/f.u.. Number 5: VASP energy -4.13 eV/atom, total magnetic moment 0.59 μB/f.u.. Number 6: VASP energy -4.25 eV/atom, total magnetic moment 0.00 μB/f.u..